1.
# GGA-PBE AcTb7Y12, relaxed
# ρ = 5.46 g/cm³
# ΔH_f (0 K) = 0.65 eV per atom
# relative energy among the computed polymorphs = 413 meV/atom
# density of states at the Fermi level = 1.312 states/eV/atom
data_AcTb7Y12
_chemical_formula_sum 'Ac2 Tb14 Y24'
_symmetry_space_group_name_H-M 'I m -3'
_symmetry_Int_Tables_number 204
_symmetry_space_group_name_Hall '-I 2 2 3'
_cell_length_a 11.357
_cell_length_b 11.357
_cell_length_c 11.357
_cell_angle_alpha 90.00
_cell_angle_beta 90.00
_cell_angle_gamma 90.00
loop_
_atom_site_label
_atom_site_type_symbol
_atom_site_fract_x
_atom_site_fract_y
_atom_site_fract_z
Ac1 Ac 0.000 0.000 0.000
Tb1 Tb 0.000 0.000 0.500
Tb2 Tb 0.250 0.250 0.250
Y1 Y 0.000 0.257 0.258

---

2.
# GGA-PBE Ac12Tb3Y, relaxed
# ρ = 8.23 g/cm³
# ΔH_f (0 K) = 0.03 eV per atom
# density of states at the Fermi level = 1.401 states/eV/atom
data_Ac12Tb3Y
_chemical_formula_sum 'Ac12 Tb3 Y1'
_symmetry_space_group_name_H-M 'P 4/m m m'
_symmetry_Int_Tables_number 123
_symmetry_space_group_name_Hall '-P 4 2'
_cell_length_a 5.496
_cell_length_b 5.496
_cell_length_c 21.963
_cell_angle_alpha 90.00
_cell_angle_beta 90.00
_cell_angle_gamma 90.00
loop_
_atom_site_label
_atom_site_type_symbol
_atom_site_fract_x
_atom_site_fract_y
_atom_site_fract_z
Ac1 Ac 0.000 0.000 0.000
Ac2 Ac 0.000 0.000 0.250
Ac3 Ac 0.000 0.000 0.500
Ac4 Ac 0.000 0.500 0.125
Ac5 Ac 0.000 0.500 0.375
Tb1 Tb 0.500 0.500 0.000
Tb2 Tb 0.500 0.500 0.250
Y1 Y 0.500 0.500 0.500

---

3.
# GGA-PBE Ac2Tb3Y5, relaxed
# ρ = 6.62 g/cm³
# ΔH_f (0 K) = 0.05 eV per atom
# density of states at the Fermi level = 1.592 states/eV/atom
data_Ac2Tb3Y5
_chemical_formula_sum 'Ac4 Tb6 Y10'
_symmetry_space_group_name_H-M 'C 1 2/m 1'
_symmetry_Int_Tables_number 12
_cell_length_a 11.502
_cell_length_b 5.177
_cell_length_c 11.585
_cell_angle_alpha 90.00
_cell_angle_beta 90.56
_cell_angle_gamma 90.00
loop_
_symmetry_equiv_pos_as_xyz
'x,y,z'
'-x,-y,-z'
'-x,y,-z'
'x,-y,z'
'x+1/2,y+1/2,z'
'-x+1/2,-y+1/2,-z'
'-x+1/2,y+1/2,-z'
'x+1/2,-y+1/2,z'
loop_
_atom_site_label
_atom_site_type_symbol
_atom_site_fract_x
_atom_site_fract_y
_atom_site_fract_z
Ac1 Ac 0.101 0.000 0.298
Tb1 Tb 0.000 0.000 0.000
Tb2 Tb 0.100 0.500 0.805
Y1 Y 0.000 0.500 0.500
Y2 Y 0.199 0.000 0.601
Y3 Y 0.203 0.500 0.096

---

4.
# GGA-PBE AcTb3Y7, relaxed
# ρ = 5.88 g/cm³
# ΔH_f (0 K) = 0.14 eV per atom
# relative energy among the computed polymorphs = 0 meV/atom
# density of states at the Fermi level = 1.645 states/eV/atom
data_AcTb3Y7
_chemical_formula_sum 'Ac1 Tb3 Y7'
_symmetry_space_group_name_H-M 'P 1 2/m 1'
_symmetry_Int_Tables_number 10
_cell_length_a 7.013
_cell_length_b 5.632
_cell_length_c 9.977
_cell_angle_alpha 90.00
_cell_angle_beta 108.18
_cell_angle_gamma 90.00
loop_
_symmetry_equiv_pos_as_xyz
'x,y,z'
'-x,-y,-z'
'-x,y,-z'
'x,-y,z'
loop_
_atom_site_label
_atom_site_type_symbol
_atom_site_fract_x
_atom_site_fract_y
_atom_site_fract_z
Ac1 Ac 0.000 0.000 0.000
Tb1 Tb 0.276 0.500 0.493
Tb2 Tb 0.500 0.000 0.000
Y1 Y 0.000 0.000 0.500
Y2 Y 0.147 0.500 0.787
Y3 Y 0.331 0.500 0.142
Y4 Y 0.435 0.000 0.332

---

5.
# GGA-PBE Ac5Tb2Y4, relaxed
# ρ = 7.06 g/cm³
# ΔH_f (0 K) = 0.09 eV per atom
# density of states at the Fermi level = 1.611 states/eV/atom
data_Ac5Tb2Y4
_chemical_formula_sum 'Ac5 Tb2 Y4'
_symmetry_space_group_name_H-M 'P 1 2/m 1'
_symmetry_Int_Tables_number 10
_cell_length_a 9.522
_cell_length_b 3.812
_cell_length_c 11.758
_cell_angle_alpha 90.00
_cell_angle_beta 94.63
_cell_angle_gamma 90.00
loop_
_symmetry_equiv_pos_as_xyz
'x,y,z'
'-x,-y,-z'
'-x,y,-z'
'x,-y,z'
loop_
_atom_site_label
_atom_site_type_symbol
_atom_site_fract_x
_atom_site_fract_y
_atom_site_fract_z
Ac1 Ac 0.000 0.000 0.000
Ac2 Ac 0.050 0.000 0.327
Ac3 Ac 0.345 0.000 0.858
Tb1 Tb 0.427 0.000 0.369
Y1 Y 0.261 0.500 0.570
Y2 Y 0.307 0.500 0.135

---

6.
# GGA-PBE AcTb5Y6, relaxed
# ρ = 6.52 g/cm³
# ΔH_f (0 K) = 0.03 eV per atom
# relative energy among the computed polymorphs = 2 meV/atom
# density of states at the Fermi level = 1.510 states/eV/atom
data_AcTb5Y6
_chemical_formula_sum 'Ac2 Tb10 Y12'
_symmetry_space_group_name_H-M 'C 1 2/m 1'
_symmetry_Int_Tables_number 12
_cell_length_a 11.937
_cell_length_b 10.816
_cell_length_c 6.232
_cell_angle_alpha 90.00
_cell_angle_beta 100.16
_cell_angle_gamma 90.00
loop_
_symmetry_equiv_pos_as_xyz
'x,y,z'
'-x,-y,-z'
'-x,y,-z'
'x,-y,z'
'x+1/2,y+1/2,z'
'-x+1/2,-y+1/2,-z'
'-x+1/2,y+1/2,-z'
'x+1/2,-y+1/2,z'
loop_
_atom_site_label
_atom_site_type_symbol
_atom_site_fract_x
_atom_site_fract_y
_atom_site_fract_z
Ac1 Ac 0.000 0.000 0.000
Tb1 Tb 0.000 0.171 0.500
Tb2 Tb 0.000 0.336 0.000
Tb3 Tb 0.000 0.500 0.500
Y1 Y 0.248 0.332 0.750
Y2 Y 0.248 0.500 0.253

---

7.
# GGA-PBE Ac2TbY, relaxed
# ρ = 7.47 g/cm³
# ΔH_f (0 K) = 0.24 eV per atom
# relative energy among the computed polymorphs = 196 meV/atom
# density of states at the Fermi level = 1.854 states/eV/atom
data_Ac2TbY
_chemical_formula_sum 'Ac6 Tb3 Y3'
_symmetry_space_group_name_H-M 'R -3 m'
_symmetry_Int_Tables_number 166
_symmetry_space_group_name_Hall '-R 3 2"'
_cell_length_a 3.7142
_cell_length_b 3.7142
_cell_length_c 39.1592
_cell_angle_alpha 90.00
_cell_angle_beta 90.00
_cell_angle_gamma 120.00
loop_
_atom_site_label
_atom_site_type_symbol
_atom_site_fract_x
_atom_site_fract_y
_atom_site_fract_z
Ac1 Ac 0.0000 0.0000 0.0883
Tb1 Tb 0.0000 0.0000 0.0000
Y1 Y 0.0000 0.0000 0.5000

---

8.
# GGA-PBE AcTb8Y3, relaxed
# ρ = 6.83 g/cm³
# ΔH_f (0 K) = 0.32 eV per atom
# density of states at the Fermi level = 1.335 states/eV/atom
data_AcTb8Y3
_chemical_formula_sum 'Ac2 Tb16 Y6'
_symmetry_space_group_name_H-M 'C 1 2/m 1'
_symmetry_Int_Tables_number 12
_cell_length_a 13.140
_cell_length_b 11.671
_cell_length_c 6.402
_cell_angle_alpha 90.00
_cell_angle_beta 119.08
_cell_angle_gamma 90.00
loop_
_symmetry_equiv_pos_as_xyz
'x,y,z'
'-x,-y,-z'
'-x,y,-z'
'x,-y,z'
'x+1/2,y+1/2,z'
'-x+1/2,-y+1/2,-z'
'-x+1/2,y+1/2,-z'
'x+1/2,-y+1/2,z'
loop_
_atom_site_label
_atom_site_type_symbol
_atom_site_fract_x
_atom_site_fract_y
_atom_site_fract_z
Ac1 Ac 0.000 0.000 0.000
Tb1 Tb 0.000 0.265 0.242
Tb2 Tb 0.248 0.326 0.748
Y1 Y 0.000 0.500 0.500
Y2 Y 0.234 0.500 0.234

---

9.
# GGA-PBE Ac2TbY, relaxed
# ρ = 7.65 g/cm³
# ΔH_f (0 K) = 0.05 eV per atom
# relative energy among the computed polymorphs = 6 meV/atom
# density of states at the Fermi level = 1.635 states/eV/atom
data_Ac2TbY
_chemical_formula_sum 'Ac4 Tb2 Y2'
_symmetry_space_group_name_H-M 'C m m m'
_symmetry_Int_Tables_number 65
_symmetry_space_group_name_Hall '-C 2 2'
_cell_length_a 7.761
_cell_length_b 10.102
_cell_length_c 3.884
_cell_angle_alpha 90.00
_cell_angle_beta 90.00
_cell_angle_gamma 90.00
loop_
_atom_site_label
_atom_site_type_symbol
_atom_site_fract_x
_atom_site_fract_y
_atom_site_fract_z
Ac1 Ac 0.250 0.250 0.000
Tb1 Tb 0.000 0.000 0.500
Y1 Y 0.000 0.500 0.500

---

10.
# GGA-PBE Ac2TbY3, relaxed
# ρ = 6.45 g/cm³
# ΔH_f (0 K) = 0.14 eV per atom
# density of states at the Fermi level = 1.519 states/eV/atom
data_Ac2TbY3
_chemical_formula_sum 'Ac8 Tb4 Y12'
_symmetry_space_group_name_H-M 'C 1 2/c 1'
_symmetry_Int_Tables_number 15
_cell_length_a 16.212
_cell_length_b 7.640
_cell_length_c 7.513
_cell_angle_alpha 90.00
_cell_angle_beta 103.42
_cell_angle_gamma 90.00
loop_
_symmetry_equiv_pos_as_xyz
'x,y,z'
'-x,-y,-z'
'-x,y,-z+1/2'
'x,-y,z+1/2'
'x+1/2,y+1/2,z'
'-x+1/2,-y+1/2,-z'
'-x+1/2,y+1/2,-z+1/2'
'x+1/2,-y+1/2,z+1/2'
loop_
_atom_site_label
_atom_site_type_symbol
_atom_site_fract_x
_atom_site_fract_y
_atom_site_fract_z
Ac1 Ac 0.182 0.000 0.092
Tb1 Tb 0.000 0.211 0.250
Y1 Y 0.000 0.209 0.750
Y2 Y 0.114 0.500 0.057

---

11.
# GGA-PBE Ac7Tb2Y2, relaxed
# ρ = 7.37 g/cm³
# ΔH_f (0 K) = 0.34 eV per atom
# density of states at the Fermi level = 1.724 states/eV/atom
data_Ac7Tb2Y2
_chemical_formula_sum 'Ac14 Tb4 Y4'
_symmetry_space_group_name_H-M 'C 1 2/m 1'
_symmetry_Int_Tables_number 12
_cell_length_a 12.798
_cell_length_b 7.221
_cell_length_c 10.170
_cell_angle_alpha 90.00
_cell_angle_beta 90.06
_cell_angle_gamma 90.00
loop_
_symmetry_equiv_pos_as_xyz
'x,y,z'
'-x,-y,-z'
'-x,y,-z'
'x,-y,z'
'x+1/2,y+1/2,z'
'-x+1/2,-y+1/2,-z'
'-x+1/2,y+1/2,-z'
'x+1/2,-y+1/2,z'
loop_
_atom_site_label
_atom_site_type_symbol
_atom_site_fract_x
_atom_site_fract_y
_atom_site_fract_z
Ac1 Ac 0.000 0.000 0.000
Ac2 Ac 0.000 0.500 0.187
Ac3 Ac 0.250 0.250 0.313
Tb1 Tb 0.000 0.250 0.500
Y1 Y 0.230 0.500 0.000

---

12.
# GGA-PBE Ac2TbY8, relaxed
# ρ = 5.70 g/cm³
# ΔH_f (0 K) = 0.20 eV per atom
# density of states at the Fermi level = 1.522 states/eV/atom
data_Ac2TbY8
_chemical_formula_sum 'Ac4 Tb2 Y16'
_symmetry_space_group_name_H-M 'C 1 2/m 1'
_symmetry_Int_Tables_number 12
_cell_length_a 17.069
_cell_length_b 6.717
_cell_length_c 6.874
_cell_angle_alpha 90.00
_cell_angle_beta 101.87
_cell_angle_gamma 90.00
loop_
_symmetry_equiv_pos_as_xyz
'x,y,z'
'-x,-y,-z'
'-x,y,-z'
'x,-y,z'
'x+1/2,y+1/2,z'
'-x+1/2,-y+1/2,-z'
'-x+1/2,y+1/2,-z'
'x+1/2,-y+1/2,z'
loop_
_atom_site_label
_atom_site_type_symbol
_atom_site_fract_x
_atom_site_fract_y
_atom_site_fract_z
Ac1 Ac 0.247 0.000 0.327
Tb1 Tb 0.000 0.000 0.000
Y1 Y 0.079 0.259 0.394
Y2 Y 0.091 0.500 0.919
Y3 Y 0.188 0.000 0.812